VASP calculation (GGA-PBE) on a relaxed structure of La2Tb2NdY6.

SG ... No. 65
M_tot ... 0.00 Bohr magnetons per cell
Energy relative to the elements ... 0.137 eV per atom
Total energy ... -5.5605 eV/atom

Cell and atoms, written as POSCAR:
```
La2Tb2NdY6
1.0
6.689 -0.617 -0.538
-3.843 5.510 -0.538
-1.854 -3.186 11.431
Tb Y Nd La
2 6 1 2
direct
0.870 0.130 0.000
0.130 0.870 0.000
0.544 0.843 0.194
0.157 0.456 0.806
0.843 0.544 0.194
0.709 0.709 0.708
0.456 0.157 0.806
0.291 0.291 0.292
0.000 0.000 0.500
0.712 0.288 0.500
0.288 0.712 0.500
```

=====

VASP calculation (GGA-PBE) on a relaxed structure of Ta2PCl.

SG ... No. 166
M_tot ... 0.00 Bohr magnetons per cell
Total energy ... -7.8208 eV/atom
Energy relative to the elements, uncorrected ... -0.32 eV/f.u.

Cell and atoms, written as POSCAR:
```
Ta2PCl
1.0
8.026 -0.042 -0.025
7.421 3.058 -0.025
7.421 1.449 2.693
Ta P Cl
2 1 1
direct
0.490 0.490 0.490
0.010 0.010 0.010
0.750 0.750 0.750
0.250 0.250 0.250
```

=====

VASP calculation (GGA-PBE) on a relaxed structure of YHo2Lu.

SG ... No. 166
M_tot ... 0.00 Bohr magnetons per cell
Energy relative to the elements ... 0.029 eV per atom
Total energy ... -5.0059 eV/atom

Cell and atoms, written as POSCAR:
```
YHo2Lu
1.0
3.524 0.000 0.000
1.762 3.052 0.000
1.762 1.017 11.463
Lu Ho Y
1 2 1
direct
0.000 0.000 0.000
0.251 0.251 0.247
0.749 0.749 0.753
0.500 0.500 0.500
```

=====

VASP calculation (GGA-PBE) on a relaxed structure of HgTePtN2.

SG ... No. 123
M_tot ... 3.61 Bohr magnetons per cell
Total energy ... -3.2467 eV/atom
Energy relative to the elements, uncorrected ... 9.90 eV/f.u.

Cell and atoms, written as POSCAR:
```
HgTePtN2
1.0
4.113 0.000 0.000
0.000 4.113 0.000
0.000 0.000 6.543
N Hg Te Pt
2 1 1 1
direct
0.500 0.000 0.000
0.000 0.500 0.000
0.000 0.000 0.000
0.000 0.000 0.500
0.500 0.500 0.500
```

=====

VASP calculation (GGA-PBE) on a relaxed structure of CoNiH.

SG ... No. 166
M_tot ... 3.62 Bohr magnetons per cell
Total energy ... -5.4128 eV/atom

Cell and atoms, written as POSCAR:
```
CoNiH
1.0
-2.259 -0.372 1.142
-0.089 -0.746 2.446
0.600 7.678 3.692
H Co Ni
2 2 2
direct
0.435 0.001 0.455
0.277 0.317 0.978
0.151 0.569 0.601
0.562 0.748 0.832
0.982 0.907 0.094
0.730 0.411 0.340
```

=====

VASP calculation (GGA-PBE) on a relaxed structure of Pm2InPd3.

SG ... No. 194
M_tot ... 0.00 Bohr magnetons per cell
Energy relative to the elements ... -0.685 eV per atom
Total energy ... -5.3218 eV/atom

Cell and atoms, written as POSCAR:
```
Pm2InPd3
1.0
-4.603 0.378 -0.503
1.918 -4.159 0.778
-1.402 2.040 14.363
Pm Pd In
4 6 2
direct
0.000 0.000 0.618
0.000 0.000 0.882
0.000 0.000 0.118
0.000 0.000 0.382
0.667 0.333 0.983
0.333 0.667 0.483
0.333 0.667 0.017
0.667 0.333 0.517
0.333 0.667 0.750
0.667 0.333 0.250
0.333 0.667 0.250
0.667 0.333 0.750
```